Density functional theory data (PBE+U) for an optimized crystal structure of CsErCrO4.

Fermi-level density of states (states/eV/atom): 0.000
Energy (eV per atom): -6.972

Cell lengths 5.8300, 5.9503, 8.0965 Å; angles 90.00, 109.20, 90.00 degrees
With the nearest neighbours (Å) after each atom.
Space group P2_1/m (No. 11)
Asymmetric unit:
Cs (0.2034, 0.2500, 0.4350)  2 O 2.86-3.09
Er (0.3113, 0.2500, 0.9632)  6 O 2.24-2.33
Cr (0.2318, 0.7500, 0.1466)  4 O 1.75-1.85
O (0.0152, 0.7500, 0.9367)  1 Cr 1.75
O (0.0408, 0.7500, 0.2788)  1 Cr 1.78
O (0.4560, 0.5258, 0.1577)  1 Cr 1.85